Density functional theory data (PBE-GGA) for a geometry-optimized RbAlSnTe3 structure.

The structure in extended XYZ format:
```
12
Lattice="10.2869 0.0000 0.0000 0.0000 4.5243 0.0000 -3.4835 0.0000 10.4747" Properties=species:S:1:pos:R:3 pbc="T T T"
Rb 1.3530 1.1311 2.2900
Rb 5.4503 3.3933 8.1847
Al -1.3791 1.1311 6.5522
Al 8.1824 3.3933 3.9225
Sn 0.5065 3.3933 9.1938
Sn 6.2968 1.1311 1.2808
Te -1.9658 1.1311 9.0153
Te -0.0351 3.3933 5.6693
Te 4.1679 3.3933 1.6653
Te 2.6354 1.1311 8.8093
Te 6.8384 1.1311 4.8053
Te 8.7691 3.3933 1.4593
```

Results
The value obtained for the energy relative to the elements, uncorrected is -553 meV per atom. Its density of states at the Fermi level is 3.139 states/eV/cell. As for the space group: P2_1/m (11). The energy comes out at -3.58 eV per atom. Its magnetization is 0.000 μB/f.u.

Density functional theory data (PBE-GGA) for a geometry-optimized Rb2AlZn3Sn4 structure.

The structure in extended XYZ format:
```
10
Lattice="4.7539 0.0000 0.0000 0.0000 4.7539 0.0000 0.0000 0.0000 11.9598" Properties=species:S:1:pos:R:3 pbc="T T T"
Rb 0.0000 2.3769 2.9428
Rb 2.3769 0.0000 9.0170
Al 2.3769 2.3769 0.0000
Zn 0.0000 0.0000 0.0000
Zn 0.0000 2.3769 7.6409
Zn 2.3769 0.0000 4.3189
Sn 0.0000 0.0000 5.9799
Sn 0.0000 2.3769 10.4086
Sn 2.3769 0.0000 1.5512
Sn 2.3769 2.3769 5.9799
```

Results
Its density of states at the Fermi level is 4.263 states/eV/cell. For the formation enthalpy at 0 K, the calculation gives -0.099 eV/atom. As for the space group: P-4m2 (115). The energy comes out at -2.65 eV per atom. Its magnetization is 0.000 μB/f.u.

Question: What is the formula in the first record?
Answer: RbAlSnTe3

What did the second record say?
Density functional theory data (PBE-GGA) for a geometry-optimized Rb2AlZn3Sn4 structure.

The structure in extended XYZ format:
```
10
Lattice="4.7539 0.0000 0.0000 0.0000 4.7539 0.0000 0.0000 0.0000 11.9598" Properties=species:S:1:pos:R:3 pbc="T T T"
Rb 0.0000 2.3769 2.9428
Rb 2.3769 0.0000 9.0170
Al 2.3769 2.3769 0.0000
Zn 0.0000 0.0000 0.0000
Zn 0.0000 2.3769 7.6409
Zn 2.3769 0.0000 4.3189
Sn 0.0000 0.0000 5.9799
Sn 0.0000 2.3769 10.4086
Sn 2.3769 0.0000 1.5512
Sn 2.3769 2.3769 5.9799
```

Results
Its density of states at the Fermi level is 4.263 states/eV/cell. For the formation enthalpy at 0 K, the calculation gives -0.099 eV/atom. As for the space group: P-4m2 (115). The energy comes out at -2.65 eV per atom. Its magnetization is 0.000 μB/f.u.